Here is a relaxed structure of GaTc3Ag from the Alexandria database. Energies are from PBEsol.

electronic total energy: -5.551 eV per atom
DOS(E_F): 6.507 states/eV per cell
magnetization: 5.36 μB/f.u.
E_form: 2.54 eV/atom

abc: 4.708 4.708 4.708
angles: 90.00 90.00 90.00
Site moments in Bohr magnetons follow the coordinates.
Atoms (fractional coordinates):
Ga: 0.500 0.500 0.500  -0.03
Tc: 0.000 0.500 0.000  1.64
Tc: 0.000 0.000 0.500  1.64
Tc: 0.500 0.000 0.000  1.64
Ag: 0.000 0.000 0.000  0.19